No. 1
{
  "formula": "NaHoGe2Cl8",
  "functional": "PBE",
  "state": "optimized geometry",
  "lattice": [[6.2847, 0.0000, 0.0000], [0.2859, 6.6535, 0.0000], [0.0726, 0.2040, 8.2565]],
  "species": ["Na", "Ho", "Ge", "Ge", "Cl", "Cl", "Cl", "Cl", "Cl", "Cl", "Cl", "Cl"],
  "frac_coords": [[0.0000, 0.0000, 0.0000], [0.0000, 0.0000, 0.5000], [0.4693, 0.4654, 0.2446], [0.5307, 0.5346, 0.7554], [0.2083, 0.8141, 0.2663], [0.2487, 0.3145, 0.4683], [0.2499, 0.8552, 0.7357], [0.2805, 0.3397, 0.0296], [0.7195, 0.6603, 0.9704], [0.7501, 0.1448, 0.2643], [0.7513, 0.6855, 0.5317], [0.7917, 0.1859, 0.7337]],
  "e_form_raw_mev_per_atom": -1444,
  "volume_a3_per_fu": 345,
  "dos_at_fermi_per_ev_cell": 0.00,
  "sg": "No. 2"
}

---

No. 2
{
  "formula": "Pt2RhCl",
  "functional": "PBE",
  "state": "optimized geometry",
  "lattice": [[4.8263, 0.0000, 0.0000], [0.0000, 4.8263, 0.0000], [0.0000, 0.0000, 2.7518]],
  "species": ["Pt", "Pt", "Rh", "Cl"],
  "frac_coords": [[0.0000, 0.5000, 0.0000], [0.5000, 0.0000, 0.0000], [0.0000, 0.0000, 0.5000], [0.5000, 0.5000, 0.5000]],
  "e_form_raw_mev_per_atom": 615,
  "volume_a3_per_fu": 64,
  "e_above_lowest_polymorph_mev_per_atom": 415,
  "dos_at_fermi_per_ev_cell": 5.21,
  "sg": "No. 123"
}

---

No. 3
{
  "formula": "Tl2ZnCu",
  "functional": "PBE",
  "state": "optimized geometry",
  "lattice": [[4.2433, 0.0000, 0.0000], [0.0000, 3.9591, 0.0000], [-1.9982, 0.0000, 5.2840]],
  "species": ["Tl", "Tl", "Zn", "Cu"],
  "frac_coords": [[0.0000, 0.0000, 0.0000], [0.2994, 0.5000, 0.5936], [0.7223, 0.0000, 0.4283], [0.5543, 0.5000, 0.1380]],
  "volume_a3_per_fu": 89,
  "e_above_lowest_polymorph_mev_per_atom": 40,
  "dos_at_fermi_per_ev_cell": 1.44,
  "sg": "No. 6"
}